## Pm4SmEr2Sc (GGA-PBE)

Data for a relaxed structure of Pm4SmEr2Sc.

a b c (Å): 3.582 11.735 6.165
angles (deg): 79.78 90.00 90.00
Positions (direct):
1 Pm 0.500 0.255 0.746
2 Pm 0.000 0.249 0.252
3 Pm 0.500 0.745 0.254
4 Er 0.000 0.000 0.000
5 Er 0.500 0.000 0.500
6 Sm 0.500 0.500 0.000
7 Pm 0.000 0.751 0.748
8 Sc 0.000 0.500 0.500

Properties
SG   P2/m (10)
Theoretical density   7.23 Mg/m³
DFT formation energy   0.03 eV/atom

***

## PmSm5Er2Sc (GGA-PBE)

Data for a relaxed structure of PmSm5Er2Sc.

a b c (Å): 5.603 10.438 10.453
angles (deg): 90.00 90.00 105.57
Positions (direct):
1 Sc 0.195 0.390 0.015
2 Sm 0.701 0.402 0.207
3 Sm 0.276 0.553 0.321
4 Sm 0.516 0.033 0.242
5 Sc 0.805 0.610 0.515
6 Er 0.115 0.230 0.737
7 Pm 0.409 0.819 0.457
8 Sm 0.983 0.966 0.516
9 Sm 0.624 0.248 0.520
10 Sm 0.299 0.598 0.707
11 Er 0.112 0.225 0.310
12 Er 0.885 0.770 0.237
13 Er 0.888 0.775 0.810
14 Sm 0.724 0.447 0.821
15 Sm 0.017 0.034 0.016
16 Sm 0.376 0.752 0.020
17 Pm 0.591 0.181 0.957
18 Sm 0.484 0.967 0.742

Properties
SG   Cmc2_1 (36)
Theoretical density   7.20 Mg/m³
DFT formation energy   0.16 eV/atom

***

## Pm5SmEr2Sc (GGA-PBE)

Data for a relaxed structure of Pm5SmEr2Sc.

a b c (Å): 5.599 10.537 10.457
angles (deg): 90.00 90.00 105.41
Positions (direct):
1 Er 0.112 0.225 0.306
2 Er 0.116 0.232 0.738
3 Er 0.888 0.775 0.806
4 Sm 0.407 0.813 0.460
5 Pm 0.299 0.597 0.708
6 Sm 0.593 0.187 0.960
7 Er 0.884 0.768 0.238
8 Pm 0.485 0.971 0.743
9 Sc 0.195 0.390 0.015
10 Pm 0.701 0.403 0.208
11 Pm 0.016 0.032 0.013
12 Pm 0.375 0.750 0.019
13 Sc 0.805 0.610 0.515
14 Pm 0.725 0.449 0.822
15 Pm 0.625 0.250 0.519
16 Pm 0.984 0.968 0.513
17 Pm 0.515 0.029 0.243
18 Pm 0.275 0.551 0.322

Properties
SG   Cmc2_1 (36)
Theoretical density   7.01 Mg/m³
DFT formation energy   0.16 eV/atom

***

## Pm6Sm2Er3Sc (GGA-PBE)

Data for a relaxed structure of Pm6Sm2Er3Sc.

a b c (Å): 6.212 6.212 11.788
angles (deg): 95.03 95.03 120.00
Positions (direct):
1 Er 0.834 0.166 0.500
2 Pm 0.753 0.753 0.251
3 Pm 0.917 0.587 0.750
4 Sm 0.333 0.667 0.000
5 Pm 0.413 0.083 0.250
6 Sc 0.000 0.000 0.000
7 Pm 0.083 0.413 0.250
8 Pm 0.587 0.917 0.750
9 Er 0.500 0.500 0.500
10 Sm 0.667 0.333 0.000
11 Pm 0.247 0.247 0.749
12 Er 0.166 0.834 0.500

Properties
SG   C2/m (12)
Theoretical density   7.35 Mg/m³
DFT formation energy   0.02 eV/atom

***

## PmSm3ErSc (GGA-PBE)

Data for a relaxed structure of PmSm3ErSc.

a b c (Å): 5.726 6.428 11.545
angles (deg): 90.00 90.00 116.45
Positions (direct):
1 Sm 0.327 0.655 0.962
2 Pm 0.469 0.938 0.250
3 Sm 0.327 0.655 0.538
4 Sm 0.673 0.345 0.038
5 Pm 0.531 0.062 0.750
6 Sc 0.169 0.338 0.250
7 Sc 0.831 0.662 0.750
8 Er 0.000 0.000 0.000
9 Sm 0.130 0.261 0.750
10 Sm 0.673 0.345 0.462
11 Er 0.000 0.000 0.500
12 Sm 0.870 0.739 0.250

Properties
SG   Cmcm (63)
Theoretical density   7.06 Mg/m³
DFT formation energy   0.14 eV/atom

***

## Pm2SmEr4Sc (GGA-PBE)

Data for a relaxed structure of Pm2SmEr4Sc.

a b c (Å): 4.997 4.997 11.131
angles (deg): 63.34 90.00 90.00
Positions (direct):
1 Er 0.000 0.756 0.744
2 Er 0.500 0.256 0.744
3 Pm 0.000 0.000 0.000
4 Pm 0.500 0.000 0.500
5 Sm 0.500 0.500 0.000
6 Er 0.500 0.744 0.256
7 Sc 0.000 0.500 0.500
8 Er 0.000 0.244 0.256

Properties
SG   P4/mmm (123)
Theoretical density   7.72 Mg/m³
DFT formation energy   0.03 eV/atom

***

> DFT formation energy of number 2 (PmSm5Er2Sc)?

0.16 eV/atom

***

> Which of these has the lowest theoretical density?

Pm5SmEr2Sc

***

> DFT formation energy of number 2 (PmSm5Er2Sc)?

0.16 eV/atom

***

> DFT formation energy of number 1 (Pm4SmEr2Sc)?

0.03 eV/atom